Record 1
# MoW2Cl

A relaxed MoW2Cl crystal (PBEsol, Alexandria via LeMat-Bulk).

Geometry as POSCAR:
```
MoW2Cl
1.0
3.0026 0.0000 0.0000
0.0000 3.8929 0.0000
0.0000 0.0000 6.5262
Cl Mo W
1 1 2
Cartesian
0.0000 0.0000 3.8288
1.5013 1.9465 5.1749
0.0000 0.0000 6.3412
1.5013 1.9465 0.9706
```

**Energy relative to the lowest polymorph listed for this composition**: 0.00 kJ per mole of atoms
**E**: -9.6715 eV per atom
**Space-group type**: Pmm2
**Calculated volume**: 76 Å³ per cell
**ΔE_f (raw)**: 676 meV/atom

Record 2
# MoWCl2

A relaxed MoWCl2 crystal (PBEsol, Alexandria via LeMat-Bulk).

Geometry as POSCAR:
```
MoWCl2
1.0
-2.7364 -0.9951 0.1224
0.8962 -2.2681 1.5956
-1.2552 4.2885 6.8008
Mo Cl W
1 2 1
Cartesian
-0.6393 2.1841 3.4636
-1.1723 4.0053 6.3517
-1.3194 -0.2674 3.0224
-1.8473 1.5361 5.8824
```

**Energy relative to the lowest polymorph listed for this composition**: 0.00 kJ per mole of atoms
**E**: -7.4593 eV per atom
**Space-group type**: P4mm
**Calculated volume**: 69 Å³ per cell
**ΔE_f (raw)**: -61 meV/atom

Record 3
# Mo2WCl

A relaxed Mo2WCl crystal (PBEsol, Alexandria via LeMat-Bulk).

Geometry as POSCAR:
```
Mo2WCl
1.0
-1.7845 -1.2533 -1.8420
-2.0621 -1.7249 0.9596
-6.6398 5.7483 0.3097
Mo W Cl
2 1 1
Cartesian
-2.5664 0.6230 -0.1494
-7.9201 2.1472 -0.4233
-5.2432 1.3851 -0.2864
0.0000 0.0000 0.0000
```

**Energy relative to the lowest polymorph listed for this composition**: 0.00 kJ per mole of atoms
**E**: -9.4933 eV per atom
**Space-group type**: R-3m
**Calculated volume**: 61 Å³ per cell
**ΔE_f (raw)**: 344 meV/atom

Record 4
# Y2MoCl

A relaxed Y2MoCl crystal (PBEsol, Alexandria via LeMat-Bulk).

Geometry as POSCAR:
```
Y2MoCl
1.0
3.1544 0.0000 0.0000
0.0000 5.2157 0.0000
0.0000 0.0000 5.2157
Cl Mo Y
1 1 2
Cartesian
1.5772 2.6079 2.6079
1.5772 0.0000 0.0000
0.0000 2.6079 0.0000
0.0000 0.0000 2.6079
```

**Energy relative to the lowest polymorph listed for this composition**: 24.21 kJ per mole of atoms
**E**: -7.0192 eV per atom
**Space-group type**: P4/mmm
**Calculated volume**: 86 Å³ per cell
**ΔE_f (raw)**: -164 meV/atom